Density functional theory data (PBE-GGA) for a geometry-optimized Tl2Ge2Br structure.

Cell lengths 6.197, 6.197, 6.197 Å; angles 128.60, 128.60, 75.65 degrees
Atoms (fractional coordinates):
Tl  0.250  0.750  0.500
Tl  0.750  0.250  0.500
Ge  0.123  0.123  0.000
Ge  0.877  0.877  0.000
Br  0.500  0.500  0.000

Output
- spin magnetization (μB per formula unit) = 0.00
- uncorrected formation energy (kJ/mol of formula units) = 54.1
- E_tot (eV per cell) = -15.1
- density of states at the Fermi level (states/eV/cell) = 4.0
- E above lowest polymorph (eV per atom) = 0.048

=====

Density functional theory data (PBE-GGA) for a geometry-optimized Ac2PuS5 structure.

Cell lengths 12.149, 8.469, 7.736 Å; angles 90.00, 90.00, 90.00 degrees
Atoms (fractional coordinates):
Ac  0.172  0.002  0.048
Ac  0.172  0.498  0.048
Ac  0.328  0.502  0.548
Ac  0.328  0.998  0.548
Ac  0.672  0.002  0.452
Ac  0.672  0.498  0.452
Ac  0.828  0.502  0.952
Ac  0.828  0.998  0.952
Pu  0.003  0.250  0.545
Pu  0.497  0.750  0.045
Pu  0.503  0.250  0.955
Pu  0.997  0.750  0.455
S  0.003  0.250  0.948
S  0.082  0.529  0.671
S  0.082  0.971  0.671
S  0.194  0.250  0.349
S  0.209  0.750  0.331
S  0.291  0.250  0.831
S  0.306  0.750  0.849
S  0.418  0.029  0.171
S  0.418  0.471  0.171
S  0.497  0.750  0.448
S  0.503  0.250  0.552
S  0.582  0.529  0.829
S  0.582  0.971  0.829
S  0.694  0.250  0.151
S  0.709  0.750  0.169
S  0.791  0.250  0.669
S  0.806  0.750  0.651
S  0.918  0.029  0.329
S  0.918  0.471  0.329
S  0.997  0.750  0.052

Output
- spin magnetization (μB per formula unit) = 4.00
- uncorrected formation energy (kJ/mol of formula units) = -1489.0
- E_tot (eV per cell) = -234.5
- density of states at the Fermi level (states/eV/cell) = 35.3

=====

Density functional theory data (PBE-GGA) for a geometry-optimized Cs2NiN structure.

Cell lengths 9.208, 9.208, 9.208 Å; angles 92.12, 92.12, 157.85 degrees
Atoms (fractional coordinates):
Cs  0.375  0.135  0.260
Cs  0.865  0.125  0.240
Cs  0.875  0.115  0.740
Cs  0.885  0.625  0.760
Ni  0.250  0.750  0.500
Ni  0.500  0.500  0.000
N  0.000  0.000  0.000
N  0.750  0.250  0.500

Output
- spin magnetization (μB per formula unit) = 0.00
- uncorrected formation energy (kJ/mol of formula units) = 28.7
- E_tot (eV per cell) = -31.0
- density of states at the Fermi level (states/eV/cell) = 7.9
- E above lowest polymorph (eV per atom) = 0.000

=====

Density functional theory data (PBE-GGA) for a geometry-optimized Dy2Y3Ho9 structure.

Cell lengths 6.271, 8.403, 9.152 Å; angles 95.66, 90.05, 111.87 degrees
Atoms (fractional coordinates):
Dy  0.000  0.000  0.000
Dy  0.144  0.284  0.715
Y  0.430  0.856  0.144
Y  0.714  0.427  0.571
Y  0.951  0.569  0.930
Ho  0.096  0.856  0.643
Ho  0.235  0.141  0.358
Ho  0.285  0.570  0.429
Ho  0.382  0.425  0.073
Ho  0.523  0.712  0.786
Ho  0.571  0.140  0.857
Ho  0.667  0.997  0.502
Ho  0.810  0.285  0.215
Ho  0.857  0.713  0.287

Output
- spin magnetization (μB per formula unit) = 0.00
- E_tot (eV per cell) = -69.7
- density of states at the Fermi level (states/eV/cell) = 24.9
- calculated formation energy (eV/atom) = 0.00

=====

Density functional theory data (PBE-GGA) for a geometry-optimized HfZr2PtO structure.

Cell lengths 4.447, 4.447, 4.321 Å; angles 90.00, 90.00, 90.00 degrees
Atoms (fractional coordinates):
Hf  0.000  0.000  0.000
Zr  0.000  0.500  0.500
Zr  0.500  0.000  0.500
Pt  0.500  0.500  0.000
O  0.000  0.000  0.500

Output
- spin magnetization (μB per formula unit) = 0.00
- uncorrected formation energy (kJ/mol of formula units) = -656.5
- E_tot (eV per cell) = -44.9
- density of states at the Fermi level (states/eV/cell) = 5.8

=====

Density functional theory data (PBE-GGA) for a geometry-optimized Pr12Dy3Er structure.

Cell lengths 5.189, 5.189, 20.696 Å; angles 90.00, 90.00, 90.00 degrees
Atoms (fractional coordinates):
Pr  0.000  0.000  0.000
Pr  0.000  0.000  0.249
Pr  0.000  0.000  0.500
Pr  0.000  0.000  0.751
Pr  0.000  0.500  0.124
Pr  0.000  0.500  0.375
Pr  0.000  0.500  0.625
Pr  0.000  0.500  0.876
Pr  0.500  0.000  0.124
Pr  0.500  0.000  0.375
Pr  0.500  0.000  0.625
Pr  0.500  0.000  0.876
Dy  0.500  0.500  0.249
Dy  0.500  0.500  0.500
Dy  0.500  0.500  0.751
Er  0.500  0.500  0.000

Output
- spin magnetization (μB per formula unit) = 0.00
- E_tot (eV per cell) = -75.5
- density of states at the Fermi level (states/eV/cell) = 24.3
- calculated formation energy (eV/atom) = 0.01

=====

Density functional theory data (PBE-GGA) for a geometry-optimized Ca2CdSe structure.

Cell lengths 6.916, 6.916, 6.916 Å; angles 108.18, 108.18, 112.09 degrees
Atoms (fractional coordinates):
Ca  0.090  0.625  0.965
Ca  0.375  0.340  0.465
Ca  0.660  0.125  0.035
Ca  0.875  0.910  0.535
Cd  0.250  0.750  0.500
Cd  0.500  0.500  0.000
Se  0.000  0.000  0.000
Se  0.750  0.250  0.500

Output
- spin magnetization (μB per formula unit) = 0.00
- uncorrected formation energy (kJ/mol of formula units) = -315.8
- E_tot (eV per cell) = -23.4
- density of states at the Fermi level (states/eV/cell) = 0.6
- E above lowest polymorph (eV per atom) = 0.191

=====

Density functional theory data (PBE-GGA) for a geometry-optimized Nd5Ag2Ir2 structure.

Cell lengths 8.787, 8.787, 7.953 Å; angles 90.00, 90.00, 52.61 degrees
Atoms (fractional coordinates):
Nd  0.000  0.000  0.000
Nd  0.046  0.708  0.670
Nd  0.208  0.546  0.170
Nd  0.292  0.954  0.670
Nd  0.454  0.792  0.170
Nd  0.500  0.500  0.500
Nd  0.546  0.208  0.830
Nd  0.708  0.046  0.330
Nd  0.792  0.454  0.830
Nd  0.954  0.292  0.330
Ag  0.211  0.211  0.000
Ag  0.289  0.289  0.500
Ag  0.711  0.711  0.500
Ag  0.789  0.789  0.000
Ir  0.132  0.868  0.369
Ir  0.368  0.632  0.869
Ir  0.632  0.368  0.131
Ir  0.868  0.132  0.631

Output
- spin magnetization (μB per formula unit) = 0.00
- E_tot (eV per cell) = -102.6
- density of states at the Fermi level (states/eV/cell) = 19.3
- calculated formation energy (eV/atom) = -0.45
- E above lowest polymorph (eV per atom) = 0.000